This record from Alexandria describes an optimized crystal structure of Cd2InPt3. The functional is PBE-GGA.

Calculated values
E_tot = -4.150 eV/atom

Cell: 6.7457 6.7457 7.7711 Å, 90.00 90.00 143.10°
Atoms (fractional coordinates):
Cd  0.0000  0.0000  0.0000
Cd  0.0000  0.0000  0.5000
Cd  0.3328  0.6672  0.0000
Cd  0.6672  0.3328  0.0000
In  0.3372  0.6628  0.5000
In  0.6628  0.3372  0.5000
Pt  0.1683  0.8317  0.2575
Pt  0.1683  0.8317  0.7425
Pt  0.5000  0.5000  0.2510
Pt  0.5000  0.5000  0.7490
Pt  0.8317  0.1683  0.2575
Pt  0.8317  0.1683  0.7425